No. 1
Density functional theory data (PBE-GGA) for a relaxed Ti2PdN crystal.

Calculated values
The mass density is 6944 kg/m³. For the magnetization, the calculation gives 0.0 μB per cell. The formation energy (no corrections) comes out at -111 kJ per mole of atoms. For the total DFT energy (no corrections), the calculation gives -8.48 eV/atom. The value obtained for the density of states at the Fermi level is 2.890 states/eV per cell.

a = 2.975 Å, b = 2.975 Å, c = 6.962 Å
α = 89.96°, β = 102.36°, γ = 120.03°
Positions (direct):
Ti 0.550 0.276 0.826
Ti 0.450 0.724 0.174
Pd 0.000 0.500 0.500
N 0.000 0.000 0.000

---

No. 2
Density functional theory data (PBE-GGA) for a relaxed Ti7PdN2 crystal.

Calculated values
The mass density is 5253 kg/m³. For the magnetization, the calculation gives 0.0 μB per cell. The formation energy (no corrections) comes out at -50 kJ per mole of atoms. For the total DFT energy (no corrections), the calculation gives -8.23 eV/atom. The value obtained for the density of states at the Fermi level is 10.884 states/eV per cell.

a = 3.950 Å, b = 6.449 Å, c = 6.450 Å
α = 115.41°, β = 90.00°, γ = 90.00°
Positions (direct):
Ti 0.000 0.718 0.282
Ti 0.000 0.282 0.718
Ti 0.500 0.067 0.333
Ti 0.500 0.933 0.667
Ti 0.500 0.333 0.067
Ti 0.500 0.667 0.933
Ti 0.500 0.500 0.500
Pd 0.000 0.000 0.000
N 0.500 0.703 0.297
N 0.500 0.297 0.703

---

No. 3
Density functional theory data (PBE-GGA) for a relaxed Ti3PdN crystal.

Calculated values
The mass density is 5467 kg/m³. For the magnetization, the calculation gives 0.0 μB per cell. The formation energy (no corrections) comes out at -49 kJ per mole of atoms. For the total DFT energy (no corrections), the calculation gives -7.95 eV/atom. The value obtained for the density of states at the Fermi level is 29.086 states/eV per cell.

a = 7.684 Å, b = 7.684 Å, c = 7.684 Å
α = 60.00°, β = 60.00°, γ = 60.00°
Positions (direct):
N 0.125 0.125 0.125
N 0.125 0.625 0.125
N 0.625 0.125 0.125
N 0.125 0.125 0.625
Pd 0.625 0.625 0.625
Pd 0.625 0.125 0.625
Pd 0.125 0.625 0.625
Pd 0.625 0.625 0.125
Ti 0.811 0.189 0.189
Ti 0.061 0.439 0.439
Ti 0.439 0.439 0.061
Ti 0.439 0.061 0.061
Ti 0.061 0.439 0.061
Ti 0.811 0.189 0.811
Ti 0.439 0.061 0.439
Ti 0.061 0.061 0.439
Ti 0.189 0.811 0.189
Ti 0.189 0.811 0.811
Ti 0.189 0.189 0.811
Ti 0.811 0.811 0.189

---

No. 4
Density functional theory data (PBE-GGA) for a relaxed Ti2Pd2N crystal.

Calculated values
The mass density is 5957 kg/m³. For the magnetization, the calculation gives 0.0 μB per cell. The formation energy (no corrections) comes out at 83 kJ per mole of atoms. For the total DFT energy (no corrections), the calculation gives -6.04 eV/atom. The calculation puts the energy relative to the lowest polymorph listed for this composition at 536 meV/atom. The value obtained for the density of states at the Fermi level is 3.916 states/eV per cell.

a = 4.242 Å, b = 4.242 Å, c = 5.828 Å
α = 68.66°, β = 68.66°, γ = 90.00°
Positions (direct):
N 0.000 0.000 0.000
Pd 0.378 0.378 0.245
Pd 0.622 0.622 0.755
Ti 0.750 0.250 0.500
Ti 0.250 0.750 0.500

---

Please write out number 1 again, unchanged.
Density functional theory data (PBE-GGA) for a relaxed Ti2PdN crystal.

Calculated values
The mass density is 6944 kg/m³. For the magnetization, the calculation gives 0.0 μB per cell. The formation energy (no corrections) comes out at -111 kJ per mole of atoms. For the total DFT energy (no corrections), the calculation gives -8.48 eV/atom. The value obtained for the density of states at the Fermi level is 2.890 states/eV per cell.

a = 2.975 Å, b = 2.975 Å, c = 6.962 Å
α = 89.96°, β = 102.36°, γ = 120.03°
Positions (direct):
Ti 0.550 0.276 0.826
Ti 0.450 0.724 0.174
Pd 0.000 0.500 0.500
N 0.000 0.000 0.000

---

- Number 4 is which compound?
  Ti2Pd2N

---

Repeat the third record exactly.
Density functional theory data (PBE-GGA) for a relaxed Ti3PdN crystal.

Calculated values
The mass density is 5467 kg/m³. For the magnetization, the calculation gives 0.0 μB per cell. The formation energy (no corrections) comes out at -49 kJ per mole of atoms. For the total DFT energy (no corrections), the calculation gives -7.95 eV/atom. The value obtained for the density of states at the Fermi level is 29.086 states/eV per cell.

a = 7.684 Å, b = 7.684 Å, c = 7.684 Å
α = 60.00°, β = 60.00°, γ = 60.00°
Positions (direct):
N 0.125 0.125 0.125
N 0.125 0.625 0.125
N 0.625 0.125 0.125
N 0.125 0.125 0.625
Pd 0.625 0.625 0.625
Pd 0.625 0.125 0.625
Pd 0.125 0.625 0.625
Pd 0.625 0.625 0.125
Ti 0.811 0.189 0.189
Ti 0.061 0.439 0.439
Ti 0.439 0.439 0.061
Ti 0.439 0.061 0.061
Ti 0.061 0.439 0.061
Ti 0.811 0.189 0.811
Ti 0.439 0.061 0.439
Ti 0.061 0.061 0.439
Ti 0.189 0.811 0.189
Ti 0.189 0.811 0.811
Ti 0.189 0.189 0.811
Ti 0.811 0.811 0.189

---

What did the fourth record say?
Density functional theory data (PBE-GGA) for a relaxed Ti2Pd2N crystal.

Calculated values
The mass density is 5957 kg/m³. For the magnetization, the calculation gives 0.0 μB per cell. The formation energy (no corrections) comes out at 83 kJ per mole of atoms. For the total DFT energy (no corrections), the calculation gives -6.04 eV/atom. The calculation puts the energy relative to the lowest polymorph listed for this composition at 536 meV/atom. The value obtained for the density of states at the Fermi level is 3.916 states/eV per cell.

a = 4.242 Å, b = 4.242 Å, c = 5.828 Å
α = 68.66°, β = 68.66°, γ = 90.00°
Positions (direct):
N 0.000 0.000 0.000
Pd 0.378 0.378 0.245
Pd 0.622 0.622 0.755
Ti 0.750 0.250 0.500
Ti 0.250 0.750 0.500